1.
Fe2RhSe after structural relaxation. Source: Alexandria, functional PBE-GGA.

Summary:
formation energy from raw total energies = 0.190 eV/atom
density = 8554 kg/m3

abc: 5.1812 7.3450 2.9998
angles: 90.00 93.31 90.00
Space group C2/m (No. 12)
Symmetry-distinct sites (fractional):
Fe: 0.2500 0.2500 0.0000 [4 per cell]
Rh: 0.0000 0.0000 0.5000 [2 per cell]
Se: 0.0000 0.5000 0.5000 [2 per cell]

=====

2.
La2GdBi after structural relaxation. Source: Alexandria, functional PBE-GGA.

Summary:
relative energy among the computed polymorphs = 0 meV/atom
density = 8448 kg/m3
energy of formation from the pure elements = -1.88 eV per formula unit

abc: 5.0043 5.0043 5.0547
angles: 90.00 90.00 90.00
Space group P4/mmm (No. 123)
Symmetry-distinct sites (fractional):
La: 0.0000 0.5000 0.0000 [2 per cell]
Gd: 0.0000 0.0000 0.5000 [1 per cell]
Bi: 0.5000 0.5000 0.5000 [1 per cell]

=====

3.
Y2RhBr after structural relaxation. Source: Alexandria, functional PBE-GGA.

Summary:
relative energy among the computed polymorphs = 331 meV/atom
formation energy from raw total energies = -0.731 eV/atom
density = 6475 kg/m3

abc: 11.2115 3.5161 4.6923
angles: 90.00 90.06 90.00
Space group Cm (No. 8)
Symmetry-distinct sites (fractional):
Y: 0.0000 0.0000 0.0000 [2 per cell]
Y: 0.2369 0.5000 0.5007 [2 per cell]
Rh: 0.2531 0.0000 0.0007 [2 per cell]
Br: 0.4736 0.0000 0.4999 [2 per cell]